Record 1
Here is a relaxed PmTmGe2 crystal from the Alexandria database. Energies are from PBE-GGA.

Results
The calculation puts the formation enthalpy at 0 K at -0.837 eV/atom. As for the total energy: -5.45 eV/atom.

abc: 3.9980 5.8228 5.8228
angles: 43.62 90.00 90.00
Fractional coordinates of all 4 atoms:
Pm 0.0000 0.0000 0.0000
Tm 0.5000 0.7244 0.7244
Ge 0.0000 0.2761 0.2761
Ge 0.5000 0.4453 0.4453

***

Record 2
Here is a relaxed Pm3TmGe2 crystal from the Alexandria database. Energies are from PBE-GGA.

Results
The calculation puts the formation enthalpy at 0 K at -0.555 eV/atom. As for the total energy: -5.21 eV/atom.

abc: 8.9922 8.9922 9.4621
angles: 115.33 115.33 28.25
Fractional coordinates of all 12 atoms:
Pm 0.0448 0.0448 0.1952
Pm 0.3107 0.3107 0.6138
Pm 0.3444 0.3444 0.0234
Pm 0.6556 0.6556 0.9766
Pm 0.6893 0.6893 0.3862
Pm 0.9552 0.9552 0.8048
Tm 0.1135 0.1135 0.6240
Tm 0.8865 0.8865 0.3760
Ge 0.2455 0.2455 0.2262
Ge 0.4971 0.4971 0.6354
Ge 0.5029 0.5029 0.3646
Ge 0.7545 0.7545 0.7738

***

Record 3
Here is a relaxed PmTm2Ge crystal from the Alexandria database. Energies are from PBE-GGA.

Results
The calculation puts the formation enthalpy at 0 K at -0.067 eV/atom. As for the total energy: -4.64 eV/atom.

abc: 6.1207 6.1207 6.1207
angles: 46.69 46.69 46.69
Fractional coordinates of all 4 atoms:
Pm 0.0000 0.0000 0.0000
Tm 0.2246 0.2246 0.2246
Tm 0.7754 0.7754 0.7754
Ge 0.5000 0.5000 0.5000